# Y4TaTe

A relaxed Y4TaTe crystal (PBEsol, the Alexandria database).

extended XYZ file:
```
6
Lattice="6.058 0.000 0.000 3.029 5.247 0.000 3.029 1.749 4.947" Properties=species:S:1:pos:R:3 pbc="T T T"
Ta 9.088 5.247 3.710
Te 0.000 0.000 0.000
Y 4.574 2.641 1.867
Y 6.058 3.498 4.291
Y 7.542 2.641 1.867
Y 6.058 5.211 1.867
```

Calculated values
The formation energy (no corrections) comes out at 0.55 eV per atom. Its theoretical density is 7.014 Mg/m³.



# LiLu2Ru

A relaxed LiLu2Ru crystal (PBEsol, the Alexandria database).

extended XYZ file:
```
4
Lattice="4.733 0.000 0.000 2.366 4.099 0.000 2.366 1.366 3.864" Properties=species:S:1:pos:R:3 pbc="T T T"
Ru 0.000 0.000 0.000
Lu 2.366 1.366 0.966
Lu 7.099 4.099 2.898
Li 4.733 2.733 1.932
```

Calculated values
The formation energy is -0.32 eV/atom. Its theoretical density is 10.144 Mg/m³.



# Ca3SiBr2

A relaxed Ca3SiBr2 crystal (PBEsol, the Alexandria database).

extended XYZ file:
```
6
Lattice="4.313 0.000 0.000 0.000 5.846 0.000 -2.157 -2.923 6.621" Properties=species:S:1:pos:R:3 pbc="T T T"
Ca 0.000 0.000 0.000
Ca 2.157 2.923 1.873
Ca 0.000 0.000 4.749
Si 0.000 2.923 0.000
Br 0.000 2.923 4.230
Br 2.157 0.000 2.392
```

Calculated values
The formation energy (no corrections) comes out at -1.24 eV per atom. Its theoretical density is 3.065 Mg/m³.



# LiZn4As

A relaxed LiZn4As crystal (PBEsol, the Alexandria database).

extended XYZ file:
```
6
Lattice="-4.292 -0.754 2.660 0.196 -0.478 5.080 -1.838 3.711 2.986" Properties=species:S:1:pos:R:3 pbc="T T T"
As -4.451 1.859 8.045
Li 0.000 0.000 0.000
Zn -2.223 0.929 4.017
Zn -3.145 2.791 5.516
Zn -4.377 0.550 5.352
Zn -2.124 0.688 6.567
```

Calculated values
The formation energy is 0.01 eV/atom. Its theoretical density is 6.060 Mg/m³.



# Sb2TeOsPt

A relaxed Sb2TeOsPt crystal (PBEsol, the Alexandria database).

extended XYZ file:
```
5
Lattice="4.999 0.000 0.000 0.000 4.999 0.000 0.000 0.000 5.146" Properties=species:S:1:pos:R:3 pbc="T T T"
Sb 0.000 2.500 0.000
Sb 2.500 0.000 0.000
Te 0.000 0.000 2.573
Os 2.500 2.500 2.573
Pt 0.000 0.000 0.000
```

Calculated values
The formation energy (no corrections) comes out at 1.42 eV per atom. Its theoretical density is 9.768 Mg/m³.



# LaIO2F

A relaxed LaIO2F crystal (PBEsol, the Alexandria database).

extended XYZ file:
```
5
Lattice="-1.476 0.437 3.889 -0.375 -4.153 0.325 6.534 -0.392 2.525" Properties=species:S:1:pos:R:3 pbc="T T T"
I 3.267 -0.196 1.263
F 2.342 -2.054 3.369
O -0.187 -2.076 0.162
O -0.738 0.219 1.944
La 0.000 0.000 0.000
```

Calculated values
The formation energy (no corrections) comes out at -1.19 eV per atom. Its theoretical density is 4.287 Mg/m³.



| no. | Fermi-level density of states (states/eV/cell) |
| --- | --- |
| 1 | 5.83 |
| 2 | 2.46 |
| 3 | 0.29 |
| 4 | 2.31 |
| 5 | 4.85 |
| 6 | 4.33 |